Compound: CsMnCdO4
Source: Alexandria via LeMat-Bulk
Functional: PBE+U
Structure: optimized geometry

The space group is F-43m (No. 216) and the conventional cell measures 8.859, 8.859 and 8.859 Å, with angles of 90.00, 90.00 and 90.00 degrees. The inequivalent atoms are Cs at (0.000, 0.000, 0.000), Mn at (0.000, 0.000, 0.500), Cd at (0.250, 0.250, 0.750) and O at (0.112, 0.112, 0.612).

The final energy comes out at -146.3 eV per cell.